No. 1
# LiPrTe PBE-GGA optimized geometry
data_LiPrTe
_chemical_formula_sum 'Li4 Pr4 Te4'
_symmetry_space_group_name_H-M 'F -4 3 m'
_symmetry_Int_Tables_number 216
_symmetry_space_group_name_Hall 'F -4 2 3'
_cell_length_a 7.1133
_cell_length_b 7.1133
_cell_length_c 7.1133
_cell_angle_alpha 90.00
_cell_angle_beta 90.00
_cell_angle_gamma 90.00
loop_
_atom_site_label
_atom_site_fract_x
_atom_site_fract_y
_atom_site_fract_z
Li1 0.0000 0.0000 0.0000
Pr1 0.0000 0.0000 0.5000
Te1 0.2500 0.2500 0.2500
# Magnetic moment   0.01 μB per formula unit
# E_tot   -3.936 eV/atom

***

No. 2
# PuIrAu PBE-GGA optimized geometry
data_PuIrAu
_chemical_formula_sum 'Pu4 Ir4 Au4'
_symmetry_space_group_name_H-M 'F -4 3 m'
_symmetry_Int_Tables_number 216
_symmetry_space_group_name_Hall 'F -4 2 3'
_cell_length_a 6.5081
_cell_length_b 6.5081
_cell_length_c 6.5081
_cell_angle_alpha 90.00
_cell_angle_beta 90.00
_cell_angle_gamma 90.00
loop_
_atom_site_label
_atom_site_fract_x
_atom_site_fract_y
_atom_site_fract_z
Pu1 0.0000 0.0000 0.0000
Ir1 0.2500 0.2500 0.2500
Au1 0.0000 0.0000 0.5000
# Magnetic moment   4.52 μB per formula unit
# Calculated formation energy   -0.177 eV per atom

***

No. 3
# YGePd PBE-GGA optimized geometry
data_YGePd
_chemical_formula_sum 'Y4 Ge4 Pd4'
_symmetry_space_group_name_H-M 'F -4 3 m'
_symmetry_Int_Tables_number 216
_symmetry_space_group_name_Hall 'F -4 2 3'
_cell_length_a 6.4345
_cell_length_b 6.4345
_cell_length_c 6.4345
_cell_angle_alpha 90.00
_cell_angle_beta 90.00
_cell_angle_gamma 90.00
loop_
_atom_site_label
_atom_site_fract_x
_atom_site_fract_y
_atom_site_fract_z
Y1 0.0000 0.0000 0.0000
Ge1 0.0000 0.0000 0.5000
Pd1 0.2500 0.2500 0.7500
# Magnetic moment   0.00 μB per formula unit
# E_tot   -6.189 eV/atom

***

No. 4
# Lu2Co3Si5 PBE-GGA optimized geometry
data_Lu2Co3Si5
_chemical_formula_sum 'Lu8 Co12 Si20'
_symmetry_space_group_name_H-M 'I b a m'
_symmetry_Int_Tables_number 72
_symmetry_space_group_name_Hall '-I 2 2c'
_cell_length_a 9.4589
_cell_length_b 11.1109
_cell_length_c 5.4554
_cell_angle_alpha 90.00
_cell_angle_beta 90.00
_cell_angle_gamma 90.00
loop_
_atom_site_label
_atom_site_fract_x
_atom_site_fract_y
_atom_site_fract_z
Lu1 0.2324 0.1353 0.0000
Co1 0.0000 0.5000 0.2500
Co2 0.1093 0.1386 0.5000
Si1 0.0000 0.0000 0.2500
Si2 0.0000 0.2746 0.2500
Si3 0.1603 0.4004 0.0000
# Magnetic moment   0.16 μB per formula unit
# E_tot   -6.504 eV/atom